1.
# P

An optimized crystal structure of P (PBE-GGA, Alexandria).

Values from the calculation:
Total moment in μB/cell: 0.00
Energy above the most stable polymorph in this dataset in kJ per mole of atoms: 10.3
Mass density in Mg/m³: 2.59

Structure (POSCAR):
```
P
1.0
5.399 0.000 0.000
0.000 5.487 0.000
0.000 0.000 10.740
P
16
direct
0.192 0.180 0.238
0.196 0.450 0.962
0.214 0.596 0.257
0.228 0.920 0.542
0.272 0.080 0.042
0.286 0.404 0.757
0.304 0.550 0.462
0.308 0.820 0.738
0.692 0.320 0.762
0.696 0.050 0.038
0.714 0.904 0.743
0.728 0.580 0.458
0.772 0.420 0.958
0.786 0.096 0.243
0.804 0.950 0.538
0.808 0.680 0.262
```

***

2.
# P

An optimized crystal structure of P (PBE-GGA, Alexandria).

Values from the calculation:
Total moment in μB/cell: 0.00
Energy above the most stable polymorph in this dataset in kJ per mole of atoms: 8.0
Mass density in Mg/m³: 3.14

Structure (POSCAR):
```
P
1.0
3.482 0.000 0.000
-1.741 3.016 0.000
0.000 0.000 9.372
P
6
direct
0.000 0.000 0.228
0.000 0.000 0.772
0.333 0.667 0.439
0.333 0.667 0.894
0.667 0.333 0.106
0.667 0.333 0.561
```

***

3.
# P

An optimized crystal structure of P (PBE-GGA, Alexandria).

Values from the calculation:
Total moment in μB/cell: 0.00
Energy above the most stable polymorph in this dataset in kJ per mole of atoms: 42.3
Mass density in Mg/m³: 2.66

Structure (POSCAR):
```
P
1.0
8.702 0.000 0.000
0.000 8.702 0.000
0.000 0.000 4.090
P
16
direct
0.134 0.116 0.375
0.134 0.384 0.375
0.134 0.616 0.625
0.134 0.884 0.625
0.366 0.116 0.125
0.366 0.384 0.125
0.366 0.616 0.875
0.366 0.884 0.875
0.634 0.116 0.125
0.634 0.384 0.125
0.634 0.616 0.875
0.634 0.884 0.875
0.866 0.116 0.375
0.866 0.384 0.375
0.866 0.616 0.625
0.866 0.884 0.625
```

***

4.
# P

An optimized crystal structure of P (PBE-GGA, Alexandria).

Values from the calculation:
Total moment in μB/cell: 0.00
Energy above the most stable polymorph in this dataset in kJ per mole of atoms: 23.5
Mass density in Mg/m³: 3.12

Structure (POSCAR):
```
P
1.0
2.482 0.000 0.000
0.000 2.482 0.000
0.000 0.000 10.691
P
4
direct
0.000 0.000 0.105
0.000 0.000 0.895
0.500 0.500 0.395
0.500 0.500 0.605
```

***

5.
# P

An optimized crystal structure of P (PBE-GGA, Alexandria).

Values from the calculation:
Total moment in μB/cell: 0.00
Energy above the most stable polymorph in this dataset in kJ per mole of atoms: 73.8
Mass density in Mg/m³: 3.62

Structure (POSCAR):
```
P
1.0
3.052 0.000 0.000
0.000 3.052 0.000
0.000 0.000 3.052
P
2
direct
0.000 0.000 0.000
0.500 0.500 0.500
```

***

6.
# P

An optimized crystal structure of P (PBE-GGA, Alexandria).

Values from the calculation:
Total moment in μB/cell: 0.00
Energy above the most stable polymorph in this dataset in kJ per mole of atoms: 11.4
Mass density in Mg/m³: 3.54

Structure (POSCAR):
```
P
1.0
2.440 0.000 0.000
0.000 2.440 0.000
0.000 0.000 2.440
P
1
direct
0.000 0.000 0.000
```